## Tl3IO (PBE)

Data for a relaxed structure of Tl3IO.

## Properties
Calculated density in Mg/m³: 6.36
Relative energy among the computed polymorphs in meV/atom: 100.1
Formation energy without anion corrections in eV per atom: -0.5173
E in eV per atom: -3.239

Geometry as CIF:
```
data_Tl3IO
_chemical_formula_sum 'Tl6 I2 O2'
_cell_length_a 4.227
_cell_length_b 8.572
_cell_length_c 11.811
_cell_angle_alpha 112.80
_cell_angle_beta 90.00
_cell_angle_gamma 90.00
_space_group_name_H-M_alt 'P 1'
_space_group_IT_number 1
_space_group_name_Hall 'P 1'
loop_
_atom_site_label
_atom_site_type_symbol
_atom_site_fract_x
_atom_site_fract_y
_atom_site_fract_z
I1 I 0.250 0.244 0.478
Tl1 Tl 0.750 0.167 0.108
Tl2 Tl 0.750 0.517 0.684
O1 O 0.750 0.999 0.894
Tl3 Tl 0.250 0.483 0.316
Tl4 Tl 0.750 0.128 0.761
I2 I 0.750 0.756 0.522
O2 O 0.250 0.001 0.106
Tl5 Tl 0.250 0.872 0.239
Tl6 Tl 0.250 0.833 0.892
```